Run one
Pm4Y6Ho GGA-PBE optimized geometry; space-group type = P-6m2; calculated density = 5.678 g/cm³; V = 373.9 Å³/cell
1.0
-1.5614 -2.5324 -2.0095
-3.3053 -5.1727 9.0867
-6.4056 7.6111 -4.6142
Y Pm Ho
6 4 1
Direct
0.0000 0.5217 0.4783 Y
0.5000 0.1833 0.3666 Y
0.5000 0.6334 0.8167 Y
0.0000 0.9567 0.4783 Y
0.5000 0.1833 0.8167 Y
0.0000 0.5217 0.0433 Y
0.5000 0.8413 0.1587 Pm
0.5000 0.3174 0.1587 Pm
0.5000 0.8413 0.6826 Pm
0.0000 0.3333 0.6667 Pm
0.0000 0.0000 0.0000 Ho

---

Run two
Pm4Y6Ho GGA-PBE optimized geometry; space-group type = Cmcm; calculated density = 5.829 g/cm³; V = 728.3 Å³/cell
1.0
-2.9539 -4.6965 -1.5975
5.5992 0.2758 -0.7308
3.5810 -10.2673 23.5639
Pm Y Ho
8 12 2
Direct
0.5285 0.0571 0.8780 Pm
0.8429 0.6859 0.9555 Pm
0.5285 0.0571 0.6220 Pm
0.4715 0.9429 0.3780 Pm
0.1571 0.3141 0.4555 Pm
0.4715 0.9429 0.1220 Pm
0.8429 0.6859 0.5445 Pm
0.1571 0.3141 0.0445 Pm
0.1887 0.3775 0.8939 Y
0.5000 0.0000 0.5000 Y
0.1457 0.2915 0.3173 Y
0.8543 0.7085 0.8173 Y
0.1887 0.3775 0.6061 Y
0.8113 0.6225 0.1061 Y
0.5172 0.0345 0.7500 Y
0.8113 0.6225 0.3939 Y
0.8543 0.7085 0.6827 Y
0.5000 0.0000 0.0000 Y
0.4828 0.9655 0.2500 Y
0.1457 0.2915 0.1827 Y
0.8168 0.6335 0.2500 Ho
0.1832 0.3665 0.7500 Ho

---

Which of them is the least stable? Correct choice: run one.

---

Run one
Pm2Y5Ho GGA-PBE optimized geometry; space-group type = Pbam; calculated density = 5.734 g/cm³; V = 521.0 Å³/cell
1.0
-2.2272 1.6201 -4.2478
3.1077 -5.3278 -3.6614
-11.2849 -8.4371 2.6988
Y Ho Pm
10 2 4
Direct
0.0000 0.4994 0.7506 Y
0.5000 0.2500 0.8753 Y
0.5000 0.2500 0.3753 Y
0.0000 0.5000 0.5000 Y
0.5000 0.7500 0.1247 Y
0.0000 0.9994 0.7494 Y
0.0000 0.0006 0.2506 Y
0.5000 0.7500 0.6247 Y
0.0000 0.5006 0.2494 Y
0.0000 0.0000 0.0000 Y
0.0000 0.0000 0.5000 Ho
0.0000 0.5000 0.0000 Ho
0.5000 0.7512 0.3755 Pm
0.5000 0.7488 0.8755 Pm
0.5000 0.2488 0.6245 Pm
0.5000 0.2512 0.1245 Pm

---

Run two
Pm2Y5Ho GGA-PBE optimized geometry; space-group type = C2/c; calculated density = 5.482 g/cm³; V = 544.9 Å³/cell
1.0
13.5860 -3.9901 3.9388
-5.1851 13.1766 3.9403
3.9021 4.2674 7.1014
Y Pm Ho
10 4 2
Direct
0.1816 0.4762 0.1647 Y
0.6347 0.3651 0.7501 Y
0.3656 0.6351 0.2496 Y
0.9824 0.1136 0.3772 Y
0.4766 0.1819 0.6640 Y
0.0179 0.8868 0.6223 Y
0.8864 0.0177 0.1225 Y
0.8183 0.5237 0.8356 Y
0.5230 0.8179 0.3365 Y
0.1133 0.9821 0.8778 Y
0.5003 0.5002 0.9997 Pm
0.4998 0.4998 0.5001 Pm
0.9996 0.4995 0.5008 Pm
0.5006 0.0005 0.9990 Pm
0.8008 0.1988 0.2502 Ho
0.1991 0.8011 0.7499 Ho

---

Which of them is the least stable? Correct choice: run two.

---

Run one
PmY7Ho12 GGA-PBE optimized geometry; space-group type = R-3; calculated density = 6.929 g/cm³; V = 658.2 Å³/cell
1.0
-8.6484 -1.0426 0.0801
-0.1797 -3.1468 -8.1212
0.5382 -8.2721 2.6781
Y Ho Pm
7 12 1
Direct
0.6340 0.1202 0.9968 Y
0.1202 0.9968 0.6340 Y
0.3660 0.8798 0.0032 Y
0.8798 0.0032 0.3660 Y
0.0032 0.3660 0.8798 Y
0.5000 0.5000 0.5000 Y
0.9968 0.6340 0.1202 Y
0.8956 0.6527 0.5693 Ho
0.6527 0.5693 0.8956 Ho
0.2319 0.7581 0.3542 Ho
0.3473 0.4307 0.1044 Ho
0.5693 0.8956 0.6527 Ho
0.7681 0.2419 0.6458 Ho
0.1044 0.3473 0.4307 Ho
0.4307 0.1044 0.3473 Ho
0.6458 0.7681 0.2419 Ho
0.2419 0.6458 0.7681 Ho
0.3542 0.2319 0.7581 Ho
0.7581 0.3542 0.2319 Ho
0.0000 0.0000 0.0000 Pm

---

Run two
PmY7Ho12 GGA-PBE optimized geometry; space-group type = Im-3m; calculated density = 6.441 g/cm³; V = 708.1 Å³/cell
1.0
9.1692 0.0000 -3.2418
-4.5846 7.9407 -3.2418
0.0000 0.0000 9.7254
Ho Y Pm
12 7 1
Direct
0.7460 0.7465 0.4925 Ho
0.7460 0.2535 0.9995 Ho
0.7465 0.0005 0.2540 Ho
0.2540 0.7465 0.0005 Ho
0.5075 0.2540 0.2535 Ho
0.4925 0.7460 0.7465 Ho
0.7465 0.4925 0.7460 Ho
0.9995 0.7460 0.2535 Ho
0.2540 0.2535 0.5075 Ho
0.2535 0.5075 0.2540 Ho
0.0005 0.2540 0.7465 Ho
0.2535 0.9995 0.7460 Ho
0.0000 0.5000 0.5000 Y
0.0000 0.5000 0.0000 Y
0.5000 0.0000 0.5000 Y
0.5000 0.5000 0.5000 Y
0.5000 0.0000 0.0000 Y
0.5000 0.5000 0.0000 Y
0.0000 0.0000 0.5000 Y
0.0000 0.0000 0.0000 Pm

---

Which of them is the least stable? Correct choice: run two.